(1)
VASP calculation (GGA-PBE) on Ac3Cd4Ag4 after structural relaxation.

The calculation puts the energy relative to the elements at -27.2 kJ/mol of atoms. As for the relative energy among the computed polymorphs: 0 meV/atom.

The space group is P-1 (No. 2) and the conventional cell measures 4.103, 4.775 and 15.671 Å, with angles of 81.28, 82.48 and 89.91 degrees. Symmetry generates all atoms from Ac at (0.000, 0.000, 0.000), Ac at (0.147, 0.646, 0.708), Cd at (0.255, 0.255, 0.490), Cd at (0.404, 0.905, 0.190), Ag at (0.311, 0.812, 0.376) and Ag at (0.454, 0.453, 0.093).

=====

(2)
VASP calculation (GGA-PBE) on NbCu2PF after structural relaxation.

The calculation puts the uncorrected formation energy at 0.011 eV per atom.

The space group is P4/mmm (No. 123) and the conventional cell measures 4.207, 4.207 and 4.790 Å, with angles of 90.00, 90.00 and 90.00 degrees. Symmetry generates all atoms from Nb at (0.000, 0.000, 0.000), Cu at (0.000, 0.500, 0.500), P at (0.000, 0.000, 0.500) and F at (0.500, 0.500, 0.000).

=====

(3)
VASP calculation (GGA-PBE) on Sc3BMo after structural relaxation.

The calculation puts the energy relative to the elements at 31.3 kJ/mol of atoms. As for the relative energy among the computed polymorphs: 0 meV/atom.

The space group is Pm-3m (No. 221) and the conventional cell measures 4.579, 4.579 and 4.579 Å, with angles of 90.00, 90.00 and 90.00 degrees. Symmetry generates all atoms from Sc at (0.000, 0.000, 0.500), B at (0.000, 0.000, 0.000) and Mo at (0.500, 0.500, 0.500).

=====

(4)
VASP calculation (GGA-PBE) on AcCd2Ag2Pd after structural relaxation.

The calculation puts the energy relative to the elements at 9.4 kJ/mol of atoms.

The space group is I4/mmm (No. 139) and the conventional cell measures 5.248, 5.248 and 11.980 Å, with angles of 90.00, 90.00 and 90.00 degrees. Symmetry generates all atoms from Ac at (0.000, 0.000, 0.000), Cd at (0.000, 0.500, 0.250), Ag at (0.000, 0.000, 0.281) and Pd at (0.000, 0.000, 0.500).

=====

(5)
VASP calculation (GGA-PBE) on RbErPuBr6 after structural relaxation.

The calculation puts the uncorrected formation energy at -1.711 eV per atom.

The space group is P-31c (No. 163) and the conventional cell measures 7.5073, 7.5073 and 15.2252 Å, with angles of 90.00, 90.00 and 120.00 degrees. Symmetry generates all atoms from Rb at (0.0000, 0.0000, 0.0000), Er at (0.3333, 0.6667, 0.2500), Pu at (0.3333, 0.6667, 0.7500) and Br at (0.0196, 0.3779, 0.1417).

=====

(6)
VASP calculation (GGA-PBE) on BeCu3Au after structural relaxation.

The calculation puts the energy relative to the elements at 0.3 kJ/mol of atoms. As for the relative energy among the computed polymorphs: 10 meV/atom.

The space group is C2/c (No. 15) and the conventional cell measures 7.684, 9.717 and 6.926 Å, with angles of 90.00, 100.66 and 90.00 degrees. Symmetry generates all atoms from Be at (0.000, 0.136, 0.250), Be at (0.000, 0.251, 0.750), Cu at (0.106, 0.068, 0.924), Cu at (0.197, 0.420, 0.739), Cu at (0.209, 0.153, 0.596) and Au at (0.061, 0.340, 0.064).

=====

(7)
VASP calculation (GGA-PBE) on TlReCCl2 after structural relaxation.

The calculation puts the uncorrected formation energy at 1.873 eV per atom.

The space group is P4/mmm (No. 123) and the conventional cell measures 4.473, 4.473 and 5.140 Å, with angles of 90.00, 90.00 and 90.00 degrees. Symmetry generates all atoms from Tl at (0.000, 0.000, 0.000), Re at (0.500, 0.500, 0.000), C at (0.000, 0.000, 0.500) and Cl at (0.000, 0.500, 0.500).

=====

(8)
VASP calculation (GGA-PBE) on SrInPd3Pb after structural relaxation.

The calculation puts the energy relative to the elements at -34.8 kJ/mol of atoms.

The space group is Cmcm (No. 63) and the conventional cell measures 5.872, 17.918 and 5.878 Å, with angles of 90.00, 90.00 and 90.00 degrees. Symmetry generates all atoms from Sr at (0.000, 0.218, 0.250), In at (0.000, 0.101, 0.750), Pd at (0.000, 0.249, 0.750), Pd at (0.243, 0.000, 0.000) and Pb at (0.000, 0.401, 0.750).

=====

(9)
VASP calculation (GGA-PBE) on Ac2AlBr after structural relaxation.

The calculation puts the uncorrected formation energy at -0.684 eV per atom. As for the relative energy among the computed polymorphs: 27 meV/atom.

The space group is R3m (No. 160, hexagonal axes) and the conventional cell measures 4.0631, 4.0631 and 28.7407 Å, with angles of 90.00, 90.00 and 120.00 degrees. Symmetry generates all atoms from Ac at (0.0000, 0.0000, 0.0000), Ac at (0.0000, 0.0000, 0.1760), Al at (0.0000, 0.0000, 0.5882) and Br at (0.0000, 0.0000, 0.7551).

=====

(10)
VASP calculation (GGA-PBE) on Mn2VHPt after structural relaxation.

As for the relative energy among the computed polymorphs: 81 meV/atom.

The space group is P4/mmm (No. 123) and the conventional cell measures 3.974, 3.974 and 3.676 Å, with angles of 90.00, 90.00 and 90.00 degrees. Symmetry generates all atoms from Mn at (0.000, 0.500, 0.000), V at (0.000, 0.000, 0.500), H at (0.500, 0.500, 0.000) and Pt at (0.500, 0.500, 0.500).

=====

(11)
VASP calculation (GGA-PBE) on K2AgHg12 after structural relaxation.

The calculation puts the energy relative to the elements at -9.7 kJ/mol of atoms.

The space group is P4/nbm (No. 125, origin choice 2) and the conventional cell measures 7.042, 7.042 and 18.250 Å, with angles of 90.00, 90.00 and 90.00 degrees. Symmetry generates all atoms from K at (0.250, 0.750, 0.247), Ag at (0.250, 0.750, 0.000), Hg at (0.001, 0.501, 0.087), Hg at (0.092, 0.592, 0.567), Hg at (0.250, 0.250, 0.187) and Hg at (0.250, 0.250, 0.350).

=====

(12)
VASP calculation (GGA-PBE) on TeICl after structural relaxation.

The calculation puts the uncorrected formation energy at -0.186 eV per atom. As for the relative energy among the computed polymorphs: 0 meV/atom.

The space group is C2/m (No. 12) and the conventional cell measures 13.584, 6.244 and 5.309 Å, with angles of 90.00, 90.02 and 90.00 degrees. Symmetry generates all atoms from Te at (0.112, 0.000, 0.000), I at (0.137, 0.500, 0.999) and Cl at (0.126, 0.000, 0.500).

=====

no.,spin magnetization (μB/cell),Fermi-level density of states (states/eV/cell)
1,0.00,6.56
2,0.00,3.73
3,0.00,6.97
4,0.00,5.37
5,12.00,35.50
6,0.00,10.86
7,4.48,2.20
8,0.00,9.95
9,0.00,5.36
10,3.85,2.97
11,0.00,9.71
12,0.00,2.56